The following is a PBE calculation of Si2Sb2As after structural relaxation, from Alexandria.

Values from the calculation:
Distance to the lowest polymorph of the same formula: 170.0 meV per atom
Crystal system: tetragonal
Formation energy without anion corrections: 533 meV/atom
Theoretical density: 5.4 Mg/m³
SG: P4/mbm

```
Si2Sb2As
1.0
7.821 0.000 0.000
0.000 7.821 0.000
0.000 0.000 3.752
Si Sb As
4 4 2
direct
0.110 0.390 0.000
0.390 0.890 0.000
0.610 0.110 0.000
0.890 0.610 0.000
0.193 0.693 0.500
0.307 0.193 0.500
0.693 0.807 0.500
0.807 0.307 0.500
0.000 0.000 0.500
0.500 0.500 0.500
```